DFT (PBE-GGA) results for an optimized crystal structure of LiTb2Mg6.

Lattice parameters (Å, degrees): 9.0308 9.0308 3.2127 90.05 90.05 59.99
With the nearest neighbours (Å) after each atom.
Positions (direct):
Li  0.0000  0.0000  0.0000  2 Li 3.21, 12 Mg 3.38
Tb  0.3333  0.3333  0.0000  2 Tb 3.21, 12 Mg 3.42-3.43
Tb  0.6667  0.6667  0.0000  2 Tb 3.21, 12 Mg 3.42-3.43
Mg  0.9999  0.3292  0.4980  5 Mg 2.97-3.21
Mg  0.0001  0.6708  0.5020  5 Mg 2.97-3.21
Mg  0.3292  0.9999  0.4980  5 Mg 2.97-3.21
Mg  0.3292  0.6708  0.5000  5 Mg 2.97-3.21
Mg  0.6708  0.0001  0.5020  5 Mg 2.97-3.21
Mg  0.6708  0.3292  0.5000  5 Mg 2.97-3.21

Calculated values
The value obtained for the energy of formation from the pure elements is -38.1 meV/atom. The energy above the most stable polymorph in this dataset comes out at 0.000 eV/atom. Its crystal system is monoclinic.

---

DFT (PBE-GGA) results for an optimized crystal structure of Er2MgAl3.

Lattice parameters (Å, degrees): 7.7664 7.7664 5.0538 90.00 90.00 71.53
With the nearest neighbours (Å) after each atom.
Positions (direct):
Er  0.0688  0.6573  0.7500  7 Al 3.06-3.27
Er  0.3427  0.9312  0.7500  7 Al 3.06-3.27
Er  0.6573  0.0688  0.2500  7 Al 3.06-3.27
Er  0.9312  0.3427  0.2500  7 Al 3.06-3.27
Mg  0.4032  0.5968  0.2500  5 Al 2.94-2.95, 2 Mg 3.08
Mg  0.5968  0.4032  0.7500  5 Al 2.94-2.95, 2 Mg 3.08
Al  0.0784  0.9216  0.2500  2 Al 2.90, 1 Mg 2.95, 2 Er 3.10
Al  0.3009  0.3009  0.0000  2 Al 2.53
Al  0.3009  0.3009  0.5000  2 Al 2.53
Al  0.6991  0.6991  0.0000  2 Al 2.53
Al  0.6991  0.6991  0.5000  2 Al 2.53
Al  0.9216  0.0784  0.7500  2 Al 2.90, 1 Mg 2.95, 2 Er 3.10

Calculated values
The value obtained for the energy of formation from the pure elements is -57.4 meV/atom. Its crystal system is orthorhombic.

---

no.,N(E_F) (states/eV/f.u.)
1,4.903
2,4.078